# 1
Pu4GeAu2 after structural relaxation. Source: Alexandria, functional PBE.

CIF file:
```
data_Pu4GeAu2
_cell_length_a 8.457
_cell_length_b 5.377
_cell_length_c 8.417
_cell_angle_alpha 90.00
_cell_angle_beta 118.65
_cell_angle_gamma 90.00
_space_group_name_H-M_alt 'C 1 2/m 1'
_space_group_IT_number 12
loop_
_space_group_symop_operation_xyz
'x,y,z'
'-x,-y,-z'
'-x,y,-z'
'x,-y,z'
'x+1/2,y+1/2,z'
'-x+1/2,-y+1/2,-z'
'-x+1/2,y+1/2,-z'
'x+1/2,-y+1/2,z'
loop_
_atom_site_label
_atom_site_type_symbol
_atom_site_fract_x
_atom_site_fract_y
_atom_site_fract_z
Pu1 Pu 0.137 0.000 0.401
Pu2 Pu 0.204 0.500 0.117
Ge1 Ge 0.000 0.000 0.000
Au1 Au 0.062 0.500 0.698
```

Output
The value obtained for the spin magnetization is 23.830 μB/f.u. The value obtained for the total energy is -70.5 eV/f.u. As for the crystal system: monoclinic.



# 2
Pu2GeAu after structural relaxation. Source: Alexandria, functional PBE.

CIF file:
```
data_Pu2GeAu
_cell_length_a 7.229
_cell_length_b 7.229
_cell_length_c 7.229
_cell_angle_alpha 90.00
_cell_angle_beta 90.00
_cell_angle_gamma 90.00
_space_group_name_H-M_alt 'F m -3 m'
_space_group_IT_number 225
_space_group_name_Hall '-F 4 2 3'
loop_
_atom_site_label
_atom_site_type_symbol
_atom_site_fract_x
_atom_site_fract_y
_atom_site_fract_z
Pu1 Pu 0.250 0.250 0.250
Ge1 Ge 0.000 0.000 0.000
Au1 Au 0.000 0.000 0.500
```

Output
The value obtained for the spin magnetization is 11.081 μB/f.u. The value obtained for the total energy is -38.1 eV/f.u. As for the crystal system: cubic.



# 3
Pu3Ge4Au7 after structural relaxation. Source: Alexandria, functional PBE.

CIF file:
```
data_Pu3Ge4Au7
_cell_length_a 16.331
_cell_length_b 4.465
_cell_length_c 9.568
_cell_angle_alpha 90.00
_cell_angle_beta 124.57
_cell_angle_gamma 90.00
_space_group_name_H-M_alt 'C 1 2/m 1'
_space_group_IT_number 12
loop_
_space_group_symop_operation_xyz
'x,y,z'
'-x,-y,-z'
'-x,y,-z'
'x,-y,z'
'x+1/2,y+1/2,z'
'-x+1/2,-y+1/2,-z'
'-x+1/2,y+1/2,-z'
'x+1/2,-y+1/2,z'
loop_
_atom_site_label
_atom_site_type_symbol
_atom_site_fract_x
_atom_site_fract_y
_atom_site_fract_z
Pu1 Pu 0.000 0.000 0.000
Pu2 Pu 0.193 0.500 0.694
Ge1 Ge 0.132 0.000 0.846
Ge2 Ge 0.169 0.500 0.293
Au1 Au 0.000 0.000 0.500
Au2 Au 0.008 0.500 0.305
Au3 Au 0.146 0.000 0.412
Au4 Au 0.167 0.500 0.025
```

Output
The value obtained for the spin magnetization is 16.204 μB/f.u. The value obtained for the total energy is -89.2 eV/f.u. As for the crystal system: monoclinic.